Below is crystalline Li2GaCoI at its relaxed geometry, with properties calculated at the GGA-PBE level.

Values from the calculation:
**Symmetry**: P4/mmm (123)
**Total magnetic moment**: 1.61 μB/f.u.
**Fermi-level density of states**: 3.817 states/eV per cell
**Total DFT energy (no corrections)**: -2.4838 eV/atom

a b c (Å): 4.950 4.950 6.160
angles (deg): 90.00 90.00 90.00
Positions (direct):
Li (0.000, 0.500, 0.000)
Li (0.500, 0.000, 0.000)
Ga (0.000, 0.000, 0.500)
Co (0.500, 0.500, 0.500)
I (0.000, 0.000, 0.000)